This record from Alexandria describes an optimized crystal structure of Tl3GeF7. The functional is PBE-GGA.

It has space group Cm (No. 8), with a = 8.766 Å, b = 8.317 Å, c = 7.084 Å, α = 90.00°, β = 120.63° and γ = 90.00°. The inequivalent atoms are Tl at (0.000, 0.000, 0.000), Tl at (0.010, 0.253, 0.518), Ge at (0.012, 0.500, 0.046), F at (0.056, 0.000, 0.366), F at (0.151, 0.343, 0.246), F at (0.151, 0.500, 0.924), F at (0.371, 0.158, 0.858) and F at (0.374, 0.000, 0.178).

The value obtained for the raw total energy is -97.42 eV per cell. The value obtained for the formation energy from raw total energies is -2306 kJ/mol of formula units. The value obtained for the energy above the lowest structure with this stoichiometry is 0 meV per atom. As for the density of states at the Fermi level: 0.000 states/eV/atom.